CaMoN2O PBE with a Hubbard U optimized geometry; final energy = -34.8 eV per formula unit; SG = No. 123
1.0
3.974 0.000 0.000
0.000 3.974 0.000
0.000 0.000 3.988
Ca Mo N O
1 1 2 1
Direct
0.000 0.000 0.000
0.500 0.500 0.500
0.000 0.500 0.500
0.500 0.000 0.500
0.500 0.500 0.000